DFT (PBE) results for an optimized crystal structure of H2Se6Cl.

Cell: 5.570 7.420 7.751 Å, 95.11 93.08 104.65°
Fractional positions:
H (0.136, 0.433, 0.403)
H (0.864, 0.567, 0.597)
Se (0.065, 0.225, 0.403)
Se (0.366, 0.817, 0.670)
Se (0.412, 0.826, 0.975)
Se (0.588, 0.174, 0.025)
Se (0.634, 0.183, 0.330)
Se (0.935, 0.775, 0.597)
Cl (0.500, 0.500, 0.000)

total energy	-3.258	eV per atom
space-group type	P-1 (2)